(1)
VASP calculation (PBE-GGA) on a relaxed Ca4Pm3Te8 crystal.

abc: 8.9781 8.9774 8.9774
angles: 89.77 120.23 120.23
Last column: nearest neighbours and their distance in Å.
Element x y z (fractional)
Te 0.4925 0.7458 0.7458  3 Pm 3.17-3.18, 2 Ca 3.19-3.21
Te 0.0000 0.7480 0.2520  2 Pm 3.16, 3 Ca 3.18-3.19
Te 0.5000 0.7505 0.2495  3 Ca 3.16, 3 Pm 3.17-3.18
Pm 0.5000 0.5000 0.0000  6 Te 3.16-3.18
Te 0.0000 0.2520 0.7480  2 Pm 3.16, 3 Ca 3.18-3.19
Ca 0.0000 0.0000 0.5000  6 Te 3.16-3.18
Ca 0.0000 0.5000 0.0000  6 Te 3.16-3.18
Te 0.9971 0.7488 0.7488  1 Pm 3.14, 4 Ca 3.17-3.18
Te 0.5000 0.2495 0.7505  3 Ca 3.16, 3 Pm 3.17-3.18
Ca 0.0000 0.0000 0.0000  6 Te 3.18-3.21
Pm 0.5000 0.5000 0.5000  6 Te 3.14-3.18
Te 0.0029 0.2512 0.2512  1 Pm 3.14, 4 Ca 3.17-3.18
Pm 0.5000 0.0000 0.5000  6 Te 3.16-3.18
Te 0.5075 0.2542 0.2542  3 Pm 3.17-3.18, 2 Ca 3.19-3.21
Ca 0.5000 0.0000 0.0000  6 Te 3.16-3.19

Calculated values
- E above lowest polymorph (meV per atom) = 0.0

---

(2)
VASP calculation (PBE-GGA) on a relaxed Ca6PmTe8 crystal.

abc: 9.0114 9.0114 9.0114
angles: 60.00 60.00 60.00
Last column: nearest neighbours and their distance in Å.
Element x y z (fractional)
Ca 0.0000 0.5000 0.0000  6 Te 3.19
Pm 0.0000 0.0000 0.0000  6 Te 3.17
Te 0.7500 0.7500 0.7500  6 Ca 3.19
Te 0.7515 0.7515 0.2485  1 Pm 3.17, 4 Ca 3.19
Te 0.7515 0.2485 0.7515  1 Pm 3.17, 4 Ca 3.19
Ca 0.0000 0.0000 0.5000  6 Te 3.19
Te 0.2485 0.7515 0.2485  1 Pm 3.17, 4 Ca 3.19
Ca 0.0000 0.5000 0.5000  6 Te 3.19
Te 0.2500 0.2500 0.2500  6 Ca 3.19
Ca 0.5000 0.5000 0.0000  6 Te 3.19
Ca 0.5000 0.0000 0.0000  6 Te 3.19
Ca 0.5000 0.0000 0.5000  6 Te 3.19
Te 0.2485 0.2485 0.7515  1 Pm 3.17, 4 Ca 3.19
Te 0.7515 0.2485 0.2485  1 Pm 3.17, 4 Ca 3.19
Te 0.2485 0.7515 0.7515  1 Pm 3.17, 4 Ca 3.19

---

(3)
VASP calculation (PBE-GGA) on a relaxed CaPm3Te4 crystal.

abc: 4.4369 7.7647 7.7647
angles: 108.95 90.00 90.00
Last column: nearest neighbours and their distance in Å.
Element x y z (fractional)
Pm 0.0000 0.0000 0.5000  6 Te 3.16
Pm 0.0000 0.5000 0.0000  6 Te 3.16
Te 0.0000 0.7529 0.7529  2 Ca 3.14, 4 Pm 3.16-3.18
Te 0.5000 0.7521 0.2479  1 Ca 3.13, 5 Pm 3.16-3.19
Te 0.5000 0.2479 0.7521  1 Ca 3.13, 5 Pm 3.16-3.19
Ca 0.5000 0.0000 0.0000  6 Te 3.13-3.14
Te 0.0000 0.2471 0.2471  2 Ca 3.14, 4 Pm 3.16-3.18
Pm 0.5000 0.5000 0.5000  6 Te 3.18-3.19

---

Quick rundown of density of states at the Fermi level, same order as above: 2.2; 6.6; 3.7 states/eV/cell
Quick rundown of uncorrected formation energy, same order as above: -1526.2; -1507.4; -1455.7 meV/atom